Density functional theory data (GGA-PBE) for MnTe8Au2 after structural relaxation.

Results
M_tot: 2.68 μB per formula unit
raw formation energy: 0.065 eV per atom
volume: 29.79 A^3/atom
theoretical density: 7.4 g cm⁻³

```
MnTe8Au2
1.0
7.696 -1.469 -1.026
-0.504 6.888 0.219
-0.504 2.576 6.392
Mn Te Au
1 8 2
direct
0.000 0.000 0.000 Mn
0.145 0.134 0.644 Te
0.145 0.644 0.134 Te
0.855 0.866 0.356 Te
0.299 0.577 0.577 Te
0.855 0.356 0.866 Te
0.296 0.181 0.181 Te
0.704 0.819 0.819 Te
0.701 0.423 0.423 Te
0.601 0.131 0.131 Au
0.399 0.869 0.869 Au
```

=====

Density functional theory data (GGA-PBE) for MnTeAu after structural relaxation.

Results
M_tot: 4.07 μB per formula unit
raw formation energy: 0.041 eV per atom
energy relative to the lowest polymorph listed for this composition: 0.027 eV/atom
volume: 22.34 A^3/atom
theoretical density: 9.4 g cm⁻³

```
MnTeAu
1.0
-3.564 0.566 1.446
1.396 -3.609 -0.375
1.959 0.267 4.724
Au Mn Te
1 1 1
direct
0.000 0.000 0.034 Au
0.333 0.667 0.325 Mn
0.667 0.333 0.640 Te
```

=====

Density functional theory data (GGA-PBE) for Mn3TeAu after structural relaxation.

Results
M_tot: 12.57 μB per formula unit
raw formation energy: 0.672 eV per atom
energy relative to the lowest polymorph listed for this composition: 0.000 eV/atom
volume: 24.34 A^3/atom
theoretical density: 6.7 g cm⁻³

```
Mn3TeAu
1.0
4.955 0.000 0.000
0.000 4.955 0.000
0.000 0.000 4.955
Te Au Mn
1 1 3
direct
0.500 0.500 0.500 Te
0.000 0.000 0.000 Au
0.000 0.500 0.000 Mn
0.000 0.000 0.500 Mn
0.500 0.000 0.000 Mn
```

=====

Density functional theory data (GGA-PBE) for MnTe6Au after structural relaxation.

Results
M_tot: 2.02 μB per formula unit
raw formation energy: -0.014 eV per atom
volume: 26.82 A^3/atom
theoretical density: 7.9 g cm⁻³

```
MnTe6Au
1.0
6.796 0.009 0.010
3.391 5.891 0.013
3.389 1.961 5.372
Mn Te Au
1 6 1
direct
0.000 0.000 0.000 Mn
0.038 0.433 0.752 Te
0.777 0.038 0.752 Te
0.567 0.223 0.248 Te
0.223 0.962 0.248 Te
0.962 0.567 0.248 Te
0.433 0.777 0.752 Te
0.500 0.500 0.500 Au
```

=====

Density functional theory data (GGA-PBE) for MnTeAu after structural relaxation.

Results
M_tot: 4.33 μB per formula unit
raw formation energy: 0.014 eV per atom
energy relative to the lowest polymorph listed for this composition: 0.000 eV/atom
volume: 22.77 A^3/atom
theoretical density: 9.2 g cm⁻³

```
MnTeAu
1.0
-0.816 -1.240 4.342
-2.529 -3.725 0.885
1.983 -3.763 1.723
Au Mn Te
1 1 1
direct
0.500 0.500 0.500 Au
0.750 0.750 0.750 Mn
0.000 0.000 0.000 Te
```

=====

Density functional theory data (GGA-PBE) for MnTeAu after structural relaxation.

Results
M_tot: 3.83 μB per formula unit
raw formation energy: 0.164 eV per atom
energy relative to the lowest polymorph listed for this composition: 0.151 eV/atom
volume: 20.36 A^3/atom
theoretical density: 10.3 g cm⁻³

```
MnTeAu
1.0
-4.991 -1.758 1.678
-2.559 -3.924 2.979
-0.595 1.263 3.216
Au Mn Te
1 1 1
direct
0.980 0.980 0.020 Au
0.338 0.338 0.662 Mn
0.682 0.682 0.318 Te
```

=====

Density functional theory data (GGA-PBE) for MnTlTe3Au after structural relaxation.

Results
M_tot: 3.17 μB per formula unit
raw formation energy: -0.155 eV per atom
volume: 27.81 A^3/atom
theoretical density: 8.4 g cm⁻³

```
MnTlTe3Au
1.0
4.009 0.000 0.000
0.000 8.439 -0.709
0.000 -2.863 10.104
Mn Tl Te Au
2 2 6 2
direct
0.250 0.694 0.157 Mn
0.750 0.306 0.843 Mn
0.250 0.247 0.294 Tl
0.750 0.753 0.706 Tl
0.750 0.902 0.125 Te
0.250 0.098 0.875 Te
0.250 0.711 0.424 Te
0.750 0.289 0.576 Te
0.750 0.455 0.122 Te
0.250 0.545 0.878 Te
0.250 0.063 0.607 Au
0.750 0.937 0.393 Au
```

=====

Density functional theory data (GGA-PBE) for Th7Mn2Au2 after structural relaxation.

Results
E_form: -0.1630 eV per atom
M_tot: 0.00 μB per formula unit
volume: 26.54 A^3/atom
theoretical density: 12.1 g cm⁻³

```
Th7Mn2Au2
1.0
-0.266 1.587 3.461
3.023 -6.974 5.536
9.010 0.266 2.676
Th Mn Au
7 2 2
direct
0.812 0.090 0.285 Th
0.857 0.396 0.890 Th
0.500 0.014 0.986 Th
0.632 0.480 0.257 Th
0.368 0.743 0.520 Th
0.188 0.715 0.910 Th
0.143 0.110 0.604 Th
0.731 0.863 0.675 Mn
0.269 0.325 0.137 Mn
0.000 0.758 0.242 Au
0.500 0.359 0.641 Au
```